Here is crystalline Tl2IrW at its relaxed geometry from the Alexandria database. Energies are from PBE-GGA.

```
Tl2IrW
1.0
3.000 0.000 0.000
0.000 3.000 0.000
0.000 0.000 8.454
Tl Ir W
2 1 1
Direct
0.000 0.000 0.235
0.000 0.000 0.765
0.500 0.500 0.000
0.500 0.500 0.500
```

Output
- DFT formation energy: 995 meV/atom
- Excess energy over the best structure of this formula in the dataset: 621.4 meV/atom
- Spin magnetization: 0.0 μB/cell
- Space-group type: P4/mmm, No. 123